The following is a DFT calculation (PBE-GGA) of CePrY14 after structural relaxation.

For the formation energy, the calculation gives 0.04 eV/atom. Its energy is -100.6 eV/cell. For the density of states at the Fermi level, the calculation gives 1.603 states/eV per atom.

It has space group P4/mmm (No. 123), with a = 7.176 Å, b = 7.176 Å, c = 10.130 Å, α = 90.00°, β = 90.00° and γ = 90.00°. The distinct sites, in fractional coordinates, are Ce at (0.000, 0.000, 0.000), Pr at (0.500, 0.500, 0.000), Y at (0.000, 0.000, 0.500), Y at (0.000, 0.500, 0.000), Y at (0.000, 0.500, 0.500), Y at (0.248, 0.248, 0.251) and Y at (0.500, 0.500, 0.500).